An optimized crystal structure of Ac12Ni6Ge. Source: the Alexandria database, functional PBE.

Structure (extended XYZ):
```
19
Lattice="-5.316 5.316 5.316 5.316 -5.316 5.316 5.316 5.316 -5.316" Properties=species:S:1:pos:R:3 pbc="T T T"
Ac 5.316 3.393 -2.021
Ac 3.295 0.000 1.923
Ac 7.338 0.000 1.923
Ac 1.923 3.295 0.000
Ac 3.393 -2.021 5.316
Ac 0.000 1.923 3.295
Ac 5.316 3.393 2.021
Ac 1.923 7.338 0.000
Ac 3.393 2.021 5.316
Ac -2.021 5.316 3.393
Ac 2.021 5.316 3.393
Ac 0.000 1.923 7.338
Ni 5.316 1.264 0.000
Ni 5.316 0.000 4.052
Ni 4.052 5.316 0.000
Ni 1.264 0.000 5.316
Ni 0.000 5.316 1.264
Ni 0.000 4.052 5.316
Ge 0.000 0.000 0.000
```

E_tot, eV/atom: -4.89
Space group: No. 204
DOS at the Fermi energy, states/eV per atom: 0.884

=====

An optimized crystal structure of CeTl3B4O12. Source: the Alexandria database, functional PBE.

Structure (extended XYZ):
```
20
Lattice="5.106 2.948 2.834 -5.106 2.948 2.834 0.000 -5.896 2.834" Properties=species:S:1:pos:R:3 pbc="T T T"
Ce 0.000 0.000 0.000
Tl -2.712 -1.198 2.834
Tl -2.712 1.198 5.668
Tl 0.319 2.948 2.834
B -2.373 -4.110 4.251
B 0.000 0.000 4.251
B -2.373 4.110 4.251
B 4.745 0.000 4.251
O -3.129 -2.941 4.235
O -4.091 0.000 4.251
O -0.983 -4.180 4.267
O -3.129 2.941 4.267
O -1.379 0.000 4.251
O 2.045 -3.543 4.251
O 0.690 -1.195 4.251
O 0.690 1.195 4.251
O -0.983 4.180 4.235
O 4.111 -1.239 4.235
O 2.045 3.543 4.251
O 4.111 1.239 4.267
```

Formation energy (no corrections), eV per atom: -1.89
Space group: No. 155
DOS at the Fermi energy, states/eV per atom: 0.393

=====

An optimized crystal structure of Rb3ScBi2Se6. Source: the Alexandria database, functional PBE.

Structure (extended XYZ):
```
12
Lattice="3.694 -6.397 0.000 3.694 6.397 0.000 -2.465 0.000 7.970" Properties=species:S:1:pos:R:3 pbc="T T T"
Rb 0.000 0.000 0.000
Rb 3.694 2.203 0.000
Rb 3.694 -2.203 0.000
Sc 2.462 0.000 3.985
Bi 2.462 4.273 3.985
Bi 2.462 -4.273 3.985
Se 1.305 2.005 2.433
Se 0.147 0.000 5.552
Se 1.305 -2.005 2.433
Se 3.619 2.005 5.537
Se 4.776 0.000 2.418
Se 3.619 -2.005 5.537
```

Formation energy (no corrections), eV per atom: -1.05
Space group: No. 12
DOS at the Fermi energy, states/eV per atom: 0.000

=====

An optimized crystal structure of ThGa8Ni4. Source: the Alexandria database, functional PBE.

Structure (extended XYZ):
```
13
Lattice="-4.359 4.359 2.592 4.359 -4.359 2.592 4.359 4.359 -2.592" Properties=species:S:1:pos:R:3 pbc="T T T"
Th 0.000 0.000 0.000
Ga 3.025 0.000 0.000
Ga 5.693 0.000 0.000
Ga 4.359 2.418 0.000
Ga 0.000 3.025 0.000
Ga 2.418 4.359 0.000
Ga 1.941 0.000 2.592
Ga 0.000 5.693 0.000
Ga 0.000 1.941 2.592
Ni 2.180 2.180 -1.296
Ni 2.180 -2.180 1.296
Ni -2.180 2.180 1.296
Ni 2.180 2.180 1.296
```

E_tot, eV/atom: -4.61
Space group: No. 139
DOS at the Fermi energy, states/eV per atom: 0.551

=====

An optimized crystal structure of Na5B7C3. Source: the Alexandria database, functional PBE.

Structure (extended XYZ):
```
30
Lattice="8.575 0.000 0.000 0.000 1.413 12.854 0.000 -1.413 12.854" Properties=species:S:1:pos:R:3 pbc="T T T"
Na 2.074 0.000 0.000
Na 2.114 0.000 10.288
Na 2.116 0.000 15.449
Na 2.128 0.000 5.183
Na 2.128 0.000 20.593
Na 6.448 0.000 5.183
Na 6.447 0.000 20.593
Na 6.461 0.000 10.288
Na 6.459 0.000 15.449
Na 6.501 0.000 0.000
B 0.000 0.000 1.913
B 0.000 0.000 6.860
B 0.000 0.000 11.858
B 0.000 0.000 13.711
B 0.000 0.000 17.230
B 0.000 0.000 22.208
B 4.288 0.000 1.661
B 4.288 0.000 3.298
B 4.288 0.000 7.060
B 4.288 0.000 8.781
B 4.288 0.000 13.452
B 4.288 0.000 17.238
B 4.288 0.000 18.905
B 4.288 0.000 23.989
C 0.000 0.000 3.543
C 0.000 0.000 8.533
C 0.000 0.000 18.892
C 0.000 0.000 23.885
C 4.288 0.000 11.917
C 4.288 0.000 22.396
```

E_tot, eV/atom: -5.27
Space group: No. 38
DOS at the Fermi energy, states/eV per atom: 0.240

=====

An optimized crystal structure of Np4GeH. Source: the Alexandria database, functional PBE.

Structure (extended XYZ):
```
12
Lattice="5.377 0.000 0.000 -0.246 5.749 0.000 -2.681 -1.266 6.515" Properties=species:S:1:pos:R:3 pbc="T T T"
Np -0.889 0.026 2.366
Np -0.451 1.864 5.338
Np 0.776 2.904 2.357
Np 0.106 4.278 5.349
Np 2.344 0.205 1.166
Np 1.674 1.579 4.158
Np 2.901 2.619 1.178
Np 3.339 4.457 4.149
Ge -2.717 0.176 6.473
Ge 5.167 4.307 0.042
H -1.463 2.241 3.258
H 1.348 -0.633 3.258
```

E_tot, eV/atom: -10.09
Space group: No. 2
DOS at the Fermi energy, states/eV per atom: 1.908

=====

An optimized crystal structure of AcAl8CuAg2. Source: the Alexandria database, functional PBE.

Structure (extended XYZ):
```
12
Lattice="4.051 -2.560 0.000 4.051 2.560 0.000 -0.299 0.000 11.715" Properties=species:S:1:pos:R:3 pbc="T T T"
Ac 0.000 0.000 0.000
Al 3.752 1.291 7.983
Al 4.051 1.291 3.732
Al 2.229 0.000 9.742
Al 2.443 0.000 5.697
Al 5.359 0.000 6.018
Al 5.574 0.000 1.973
Al 3.752 -1.291 7.983
Al 4.051 -1.291 3.732
Cu -0.149 0.000 5.858
Ag 2.212 0.000 2.368
Ag 5.590 0.000 9.347
```

E_tot, eV/atom: -3.69
Space group: No. 12
DOS at the Fermi energy, states/eV per atom: 0.188

=====

An optimized crystal structure of SiH2F6. Source: the Alexandria database, functional PBE.

Structure (extended XYZ):
```
18
Lattice="4.398 0.000 0.000 0.000 5.304 0.000 -3.700 0.000 8.571" Properties=species:S:1:pos:R:3 pbc="T T T"
Si 0.000 0.000 0.000
Si -1.850 2.652 4.286
H -1.517 0.450 7.336
H 0.333 2.202 3.050
H 0.365 3.102 5.521
H 2.215 4.854 1.235
F -0.703 2.664 2.912
F -2.553 5.292 7.198
F -1.212 1.252 4.809
F 0.637 1.400 0.523
F -0.687 3.549 5.282
F 1.163 4.407 0.996
F -0.464 0.897 7.575
F 1.386 1.755 3.289
F 0.061 3.903 8.048
F 1.911 4.052 3.762
F 3.251 0.012 1.374
F 1.401 2.640 5.659
```

E_tot, eV/atom: -4.96
Space group: No. 14
DOS at the Fermi energy, states/eV per atom: 0.000

=====

An optimized crystal structure of BeCu2Se. Source: the Alexandria database, functional PBE.

Structure (extended XYZ):
```
4
Lattice="-1.779 1.779 4.180 1.779 -1.779 4.180 1.779 1.779 -4.180" Properties=species:S:1:pos:R:3 pbc="T T T"
Be 0.000 0.000 0.000
Cu 1.779 0.000 2.090
Cu 0.000 1.779 2.090
Se 0.000 0.000 4.180
```

Formation energy (no corrections), eV per atom: 0.23
Space group: No. 139
DOS at the Fermi energy, states/eV per atom: 0.297

=====

An optimized crystal structure of NiBi. Source: the Alexandria database, functional PBE.

Structure (extended XYZ):
```
8
Lattice="0.000 4.043 6.286 3.511 0.000 6.286 3.511 4.043 0.000" Properties=species:S:1:pos:R:3 pbc="T T T"
Ni 0.878 1.011 0.302
Ni 0.878 1.011 2.841
Ni 6.145 7.076 9.732
Ni 6.145 7.076 12.270
Bi 2.634 1.317 4.715
Bi 4.389 3.338 7.858
Bi 2.634 4.749 4.715
Bi 4.389 6.770 7.858
```

E_tot, eV/atom: -4.60
Space group: No. 70
DOS at the Fermi energy, states/eV per atom: 0.628

=====

An optimized crystal structure of Zr2CdClF. Source: the Alexandria database, functional PBE.

Structure (extended XYZ):
```
5
Lattice="5.512 0.000 0.000 0.000 5.512 0.000 0.000 0.000 4.429" Properties=species:S:1:pos:R:3 pbc="T T T"
Zr 0.000 2.756 0.000
Zr 2.756 0.000 0.000
Cd 0.000 0.000 0.000
Cl 2.756 2.756 2.214
F 0.000 0.000 2.214
```

Formation energy (no corrections), eV per atom: 0.40
Space group: No. 123
DOS at the Fermi energy, states/eV per atom: 1.128

=====

An optimized crystal structure of Er4CdBi2. Source: the Alexandria database, functional PBE.

Structure (extended XYZ):
```
14
Lattice="6.207 0.000 0.000 0.000 6.660 0.000 -2.242 0.000 9.957" Properties=species:S:1:pos:R:3 pbc="T T T"
Er -0.461 0.013 2.532
Er -0.461 3.317 2.532
Er 0.988 4.995 5.272
Er 2.506 4.995 1.641
Er 1.459 1.665 8.316
Er 2.977 1.665 4.685
Er 4.426 3.343 7.425
Er 4.426 6.647 7.425
Cd 0.715 4.995 8.248
Cd 3.250 1.665 1.709
Bi 0.836 1.665 0.104
Bi -0.021 1.665 5.327
Bi 3.986 4.995 4.630
Bi 3.129 4.995 9.853
```

E_tot, eV/atom: -4.20
Space group: No. 11
DOS at the Fermi energy, states/eV per atom: 0.948